Below is a relaxed Tb3Tm4Sc5 crystal, with properties calculated at the GGA-PBE level.

Computed properties:
Its calculated density is 6.635 g/cm3. Its energy of formation from the pure elements is 0.25 eV/atom. As for the uncorrected energy: -5.04 eV/atom.

```
data_Tb3Tm4Sc5
_chemical_formula_sum 'Tb3 Tm4 Sc5'
_space_group_name_H-M_alt 'P 1'
_space_group_IT_number 1
_cell_length_a 5.652
_cell_length_b 8.124
_cell_length_c 9.014
_cell_angle_alpha 101.85
_cell_angle_beta 71.73
_cell_angle_gamma 69.64
loop_
_space_group_symop_operation_xyz
'x,y,z'
loop_
_atom_site_label
_atom_site_type_symbol
_atom_site_fract_x
_atom_site_fract_y
_atom_site_fract_z
Sc1 Sc 0.805 0.528 0.861
Sc2 Sc 0.362 0.076 0.200
Sc3 Sc 0.500 0.500 0.500
Tm1 Tm 0.826 0.967 0.381
Tb1 Tb 0.000 0.500 0.500
Tm2 Tm 0.857 0.228 0.058
Tb2 Tb 0.534 0.694 0.238
Tm3 Tm 0.143 0.772 0.942
Sc4 Sc 0.638 0.924 0.800
Tm4 Tm 0.174 0.033 0.619
Sc5 Sc 0.195 0.472 0.139
Tb3 Tb 0.466 0.306 0.762
```

Below is a relaxed Ta2CoPb crystal, with properties calculated at the GGA-PBE level.

Computed properties:
Its calculated density is 14.497 g/cm3. Its energy of formation from the pure elements is 0.36 eV/atom. As for the uncorrected energy: -8.27 eV/atom.

```
data_Ta2CoPb
_chemical_formula_sum 'Ta2 Co1 Pb1'
_space_group_name_H-M_alt 'P 1'
_space_group_IT_number 1
_cell_length_a 3.911
_cell_length_b 3.016
_cell_length_c 6.515
_cell_angle_alpha 69.42
_cell_angle_beta 90.00
_cell_angle_gamma 90.00
loop_
_space_group_symop_operation_xyz
'x,y,z'
loop_
_atom_site_label
_atom_site_type_symbol
_atom_site_fract_x
_atom_site_fract_y
_atom_site_fract_z
Pb1 Pb 0.500 0.750 0.750
Co1 Co 0.500 0.250 0.250
Ta1 Ta 0.000 0.482 0.458
Ta2 Ta 0.000 0.018 0.042
```

Below is a relaxed YTh2Mn crystal, with properties calculated at the GGA-PBE level.

Computed properties:
Its calculated density is 9.120 g/cm3. Its energy of formation from the pure elements is 0.16 eV/atom. The polymorph energy (0 for the lowest one) is 0 meV per atom. As for the uncorrected energy: -7.46 eV/atom.

```
data_YTh2Mn
_chemical_formula_sum 'Y1 Th2 Mn1'
_space_group_name_H-M_alt 'P 1'
_space_group_IT_number 1
_cell_length_a 3.566
_cell_length_b 3.566
_cell_length_c 8.706
_cell_angle_alpha 90.00
_cell_angle_beta 90.00
_cell_angle_gamma 90.00
loop_
_space_group_symop_operation_xyz
'x,y,z'
loop_
_atom_site_label
_atom_site_type_symbol
_atom_site_fract_x
_atom_site_fract_y
_atom_site_fract_z
Th1 Th 0.000 0.000 0.204
Th2 Th 0.000 0.000 0.796
Y1 Y 0.500 0.500 0.500
Mn1 Mn 0.500 0.500 0.000
```

Below is a relaxed LaTbHgIr crystal, with properties calculated at the GGA-PBE level.

Computed properties:
Its calculated density is 11.662 g/cm3. Its energy of formation from the pure elements is -0.54 eV/atom. The polymorph energy (0 for the lowest one) is 88 meV per atom. As for the uncorrected energy: -5.22 eV/atom.

```
data_LaTbHgIr
_chemical_formula_sum 'La1 Tb1 Hg1 Ir1'
_space_group_name_H-M_alt 'P 1'
_space_group_IT_number 1
_cell_length_a 5.181
_cell_length_b 5.181
_cell_length_c 5.181
_cell_angle_alpha 60.00
_cell_angle_beta 60.00
_cell_angle_gamma 60.00
loop_
_space_group_symop_operation_xyz
'x,y,z'
loop_
_atom_site_label
_atom_site_type_symbol
_atom_site_fract_x
_atom_site_fract_y
_atom_site_fract_z
Ir1 Ir 0.000 0.000 0.000
La1 La 0.250 0.250 0.250
Tb1 Tb 0.750 0.750 0.750
Hg1 Hg 0.500 0.500 0.500
```

Below is a relaxed La2TbPr2Mg5 crystal, with properties calculated at the GGA-PBE level.

Computed properties:
Its calculated density is 4.632 g/cm3. Its energy of formation from the pure elements is 0.00 eV/atom. As for the uncorrected energy: -3.20 eV/atom.

```
data_La2TbPr2Mg5
_chemical_formula_sum 'La4 Tb2 Pr4 Mg10'
_space_group_name_H-M_alt 'P 1'
_space_group_IT_number 1
_cell_length_a 5.186
_cell_length_b 10.778
_cell_length_c 10.778
_cell_angle_alpha 90.00
_cell_angle_beta 90.00
_cell_angle_gamma 90.00
loop_
_space_group_symop_operation_xyz
'x,y,z'
loop_
_atom_site_label
_atom_site_type_symbol
_atom_site_fract_x
_atom_site_fract_y
_atom_site_fract_z
Mg1 Mg 0.500 0.307 0.573
Mg2 Mg 0.500 0.807 0.927
Mg3 Mg 0.500 0.927 0.193
Mg4 Mg 0.500 0.193 0.073
La1 La 0.000 0.326 0.826
Tb1 Tb 0.000 0.500 0.500
Mg5 Mg 0.500 0.693 0.427
Pr1 Pr 0.000 0.624 0.876
La2 La 0.000 0.174 0.326
La3 La 0.000 0.826 0.674
Mg6 Mg 0.500 0.000 0.500
La4 La 0.000 0.674 0.174
Pr2 Pr 0.000 0.876 0.376
Mg7 Mg 0.500 0.500 0.000
Mg8 Mg 0.500 0.073 0.807
Pr3 Pr 0.000 0.124 0.624
Mg9 Mg 0.500 0.427 0.307
Mg10 Mg 0.500 0.573 0.693
Pr4 Pr 0.000 0.376 0.124
Tb2 Tb 0.000 0.000 0.000
```

Below is a relaxed K3PaI8 crystal, with properties calculated at the GGA-PBE level.

Computed properties:
Its calculated density is 4.149 g/cm3. The formation energy from raw total energies is -1077 meV per atom. As for the uncorrected energy: -3.18 eV/atom.

```
data_K3PaI8
_chemical_formula_sum 'K3 Pa1 I8'
_space_group_name_H-M_alt 'P 1'
_space_group_IT_number 1
_cell_length_a 8.172
_cell_length_b 8.172
_cell_length_c 8.172
_cell_angle_alpha 90.00
_cell_angle_beta 90.00
_cell_angle_gamma 90.00
loop_
_space_group_symop_operation_xyz
'x,y,z'
loop_
_atom_site_label
_atom_site_type_symbol
_atom_site_fract_x
_atom_site_fract_y
_atom_site_fract_z
I1 I 0.774 0.774 0.226
K1 K 0.000 0.500 0.500
I2 I 0.774 0.774 0.774
K2 K 0.500 0.500 0.000
I3 I 0.226 0.226 0.226
I4 I 0.226 0.774 0.774
I5 I 0.774 0.226 0.226
K3 K 0.500 0.000 0.500
Pa1 Pa 0.000 0.000 0.000
I6 I 0.226 0.226 0.774
I7 I 0.226 0.774 0.226
I8 I 0.774 0.226 0.774
```

Below is a relaxed Hf3TlPb crystal, with properties calculated at the GGA-PBE level.

Computed properties:
Its calculated density is 13.262 g/cm3. Its energy of formation from the pure elements is 0.12 eV/atom. The polymorph energy (0 for the lowest one) is 0 meV per atom. As for the uncorrected energy: -7.06 eV/atom.

```
data_Hf3TlPb
_chemical_formula_sum 'Hf6 Tl2 Pb2'
_space_group_name_H-M_alt 'P 1'
_space_group_IT_number 1
_cell_length_a 5.564
_cell_length_b 6.103
_cell_length_c 7.518
_cell_angle_alpha 90.00
_cell_angle_beta 111.73
_cell_angle_gamma 90.00
loop_
_space_group_symop_operation_xyz
'x,y,z'
loop_
_atom_site_label
_atom_site_type_symbol
_atom_site_fract_x
_atom_site_fract_y
_atom_site_fract_z
Hf1 Hf 0.697 0.503 0.394
Hf2 Hf 0.303 0.003 0.606
Hf3 Hf 0.114 0.750 0.227
Hf4 Hf 0.886 0.250 0.773
Tl1 Tl 0.502 0.750 0.002
Pb1 Pb 0.890 0.750 0.778
Pb2 Pb 0.110 0.250 0.222
Hf5 Hf 0.303 0.497 0.606
Tl2 Tl 0.498 0.250 0.998
Hf6 Hf 0.697 0.997 0.394
```

Below is a relaxed Sm2HoCd2 crystal, with properties calculated at the GGA-PBE level.

Computed properties:
Its calculated density is 7.907 g/cm3. Its energy of formation from the pure elements is -0.18 eV/atom. The polymorph energy (0 for the lowest one) is 74 meV per atom. As for the uncorrected energy: -3.34 eV/atom.

```
data_Sm2HoCd2
_chemical_formula_sum 'Sm2 Ho1 Cd2'
_space_group_name_H-M_alt 'P 1'
_space_group_IT_number 1
_cell_length_a 5.017
_cell_length_b 5.971
_cell_length_c 5.971
_cell_angle_alpha 71.30
_cell_angle_beta 65.16
_cell_angle_gamma 65.16
loop_
_space_group_symop_operation_xyz
'x,y,z'
loop_
_atom_site_label
_atom_site_type_symbol
_atom_site_fract_x
_atom_site_fract_y
_atom_site_fract_z
Sm1 Sm 0.803 0.697 0.697
Cd1 Cd 0.500 0.289 0.711
Ho1 Ho 0.000 0.000 0.000
Sm2 Sm 0.197 0.303 0.303
Cd2 Cd 0.500 0.711 0.289
```